A plane-wave DFT calculation with GGA-PBE was carried out for a relaxed structure of LuMgIr.

Cell lengths 4.5645, 4.5645, 4.5645 Å; angles 60.00, 60.00, 60.00 degrees
Last column: nearest neighbours and their distance in Å.
Fractional coordinates of all 3 atoms:
Lu: 0.0000 0.0000 0.0000  4 Ir 2.80
Mg: 0.5000 0.5000 0.5000  4 Ir 2.80
Ir: 0.2500 0.2500 0.2500  4 Mg 2.80, 4 Lu 2.80

Results
**Space group**: F-43m
**Calculated density**: 9.67 g/cm3
**Calculated formation energy**: -168 kJ/mol of formula units
**Size of the total moment**: 0.0 μB per formula unit